VASP calculation (PBE-GGA) on La3YF after structural relaxation.

Lattice parameters (Å, degrees): 5.2721 5.2721 5.2721 90.00 90.00 90.00
Closest atoms and distances in Å follow each position.
Sites, in units of the cell vectors:
La 0.0000 0.0000 0.5000  2 F 2.64
La 0.0000 0.5000 0.0000  2 F 2.64
La 0.5000 0.0000 0.0000  2 F 2.64
Y 0.5000 0.5000 0.5000  12 La 3.73
F 0.0000 0.0000 0.0000  6 La 2.64

Calculated values
The value obtained for the density of states at the Fermi level is 6.7 states/eV per cell. The calculation puts the uncorrected formation energy at -5.11 eV per formula unit. As for the calculated density: 5.945 g/cm³. Its crystal system is cubic. The value obtained for the energy relative to the lowest polymorph listed for this composition is 0.000 eV per formula unit. The value obtained for the total magnetization is 0.00 μB/atom.